Entry from the Alexandria database: a crystal of ZnCdPt2 relaxed with PBEsol (meta-GGA SCAN).

Computed properties:
theoretical density	15.30	g/cm³
formation energy from the elements	-0.4239	eV per atom
D(E_F)	0.250	states/eV/atom
raw total energy	-372.02	eV per cell
total magnetic moment	0.0	Bohr magnetons per cell

a b c (Å): 5.7575 7.4192 2.8859
angles (deg): 90.00 90.00 90.00
Space group Cmmm (No. 65)
Inequivalent atoms, fractional coordinates:
Zn  0.0000  0.0000  0.0000 [2 per cell]
Cd  0.0000  0.5000  0.0000 [2 per cell]
Pt  0.2500  0.2500  0.5000 [4 per cell]

=====

Entry from the Alexandria database: a crystal of ZnCd2Pt2 relaxed with PBEsol (meta-GGA SCAN).

Computed properties:
theoretical density	12.90	g/cm³
formation energy from the elements	-0.3656	eV per atom
D(E_F)	0.531	states/eV/atom
raw total energy	-433.12	eV per cell
total magnetic moment	0.0	Bohr magnetons per cell

a b c (Å): 6.5131 6.5131 4.1305
angles (deg): 90.00 90.00 90.00
Space group P4/mbm (No. 127)
Inequivalent atoms, fractional coordinates:
Zn  0.0000  0.0000  0.0000 [2 per cell]
Cd  0.1609  0.3391  0.5000 [4 per cell]
Pt  0.1443  0.6443  0.0000 [4 per cell]

=====

Entry from the Alexandria database: a crystal of ZnCd2Pt relaxed with PBEsol (meta-GGA SCAN).

Computed properties:
theoretical density	12.00	g/cm³
formation energy from the elements	-0.2497	eV per atom
D(E_F)	0.274	states/eV/atom
raw total energy	-291.07	eV per cell
total magnetic moment	0.0	Bohr magnetons per cell

a b c (Å): 3.7450 4.2262 8.4884
angles (deg): 90.00 90.00 90.00
Space group Imm2 (No. 44)
Inequivalent atoms, fractional coordinates:
Zn  0.0000  0.0000  0.0000 [2 per cell]
Cd  0.0000  0.0000  0.5218 [2 per cell]
Cd  0.0000  0.5000  0.7543 [2 per cell]
Pt  0.0000  0.5000  0.2829 [2 per cell]

=====

Entry from the Alexandria database: a crystal of ZnCdPt2 relaxed with PBEsol (meta-GGA SCAN).

Computed properties:
theoretical density	15.08	g/cm³
formation energy from the elements	-0.3082	eV per atom
D(E_F)	0.330	states/eV/atom
raw total energy	-185.55	eV per cell
total magnetic moment	0.0	Bohr magnetons per cell

a b c (Å): 2.8147 3.9332 5.6489
angles (deg): 90.00 90.00 90.00
Space group Pmm2 (No. 25)
Inequivalent atoms, fractional coordinates:
Zn  0.0000  0.0000  0.0000 [1 per cell]
Cd  0.5000  0.5000  0.2945 [1 per cell]
Pt  0.0000  0.0000  0.5296 [1 per cell]
Pt  0.5000  0.5000  0.8093 [1 per cell]

=====

Entry from the Alexandria database: a crystal of ZnCdPt2 relaxed with PBEsol (meta-GGA SCAN).

Computed properties:
theoretical density	15.12	g/cm³
formation energy from the elements	-0.2833	eV per atom
D(E_F)	0.289	states/eV/atom
raw total energy	-370.90	eV per cell
total magnetic moment	0.0	Bohr magnetons per cell

a b c (Å): 2.9240 4.5266 9.4260
angles (deg): 90.00 90.00 90.00
Space group Imm2 (No. 44)
Inequivalent atoms, fractional coordinates:
Zn  0.0000  0.0000  0.0000 [2 per cell]
Cd  0.0000  0.5000  0.7571 [2 per cell]
Pt  0.0000  0.0000  0.5189 [2 per cell]
Pt  0.0000  0.5000  0.2771 [2 per cell]

=====

Entry from the Alexandria database: a crystal of ZnCd2Pt relaxed with PBEsol (meta-GGA SCAN).

Computed properties:
theoretical density	12.12	g/cm³
formation energy from the elements	-0.2481	eV per atom
D(E_F)	0.223	states/eV/atom
raw total energy	-291.06	eV per cell
total magnetic moment	0.0	Bohr magnetons per cell

a b c (Å): 3.9588 3.9588 8.4849
angles (deg): 90.00 90.00 90.00
Space group I4/mmm (No. 139)
Inequivalent atoms, fractional coordinates:
Zn  0.0000  0.0000  0.0000 [2 per cell]
Cd  0.0000  0.5000  0.2500 [4 per cell]
Pt  0.0000  0.0000  0.5000 [2 per cell]

=====

Entry from the Alexandria database: a crystal of ZnCdPt2 relaxed with PBEsol (meta-GGA SCAN).

Computed properties:
theoretical density	15.44	g/cm³
formation energy from the elements	-0.5008	eV per atom
D(E_F)	0.161	states/eV/atom
raw total energy	-186.32	eV per cell
total magnetic moment	0.0	Bohr magnetons per cell

a b c (Å): 2.9079 2.9079 7.2218
angles (deg): 90.00 90.00 90.00
Space group P4/mmm (No. 123)
Inequivalent atoms, fractional coordinates:
Zn  0.0000  0.0000  0.0000 [1 per cell]
Cd  0.0000  0.0000  0.5000 [1 per cell]
Pt  0.5000  0.5000  0.2245 [2 per cell]

=====

Entry from the Alexandria database: a crystal of ZnCdPt2 relaxed with PBEsol (meta-GGA SCAN).

Computed properties:
theoretical density	15.02	g/cm³
formation energy from the elements	-0.1289	eV per atom
D(E_F)	0.336	states/eV/atom
raw total energy	-554.49	eV per cell
total magnetic moment	0.0	Bohr magnetons per cell

a b c (Å): 2.8398 2.8398 26.9655
angles (deg): 90.00 90.00 120.00
Space group R3m (No. 160, hexagonal axes)
Inequivalent atoms, fractional coordinates:
Zn  0.0000  0.0000  0.0000 [3 per cell]
Cd  0.0000  0.0000  0.7544 [3 per cell]
Pt  0.0000  0.0000  0.2591 [3 per cell]
Pt  0.0000  0.0000  0.5072 [3 per cell]

=====

Entry from the Alexandria database: a crystal of ZnCdPt2 relaxed with PBEsol (meta-GGA SCAN).

Computed properties:
theoretical density	15.16	g/cm³
formation energy from the elements	-0.2842	eV per atom
D(E_F)	0.517	states/eV/atom
raw total energy	-370.91	eV per cell
total magnetic moment	0.0	Bohr magnetons per cell

a b c (Å): 8.9947 2.8746 4.9458
angles (deg): 90.00 103.32 90.00
Space group C2/m (No. 12)
Inequivalent atoms, fractional coordinates:
Zn  0.0000  0.0000  0.0000 [2 per cell]
Cd  0.0000  0.5000  0.5000 [2 per cell]
Pt  0.2380  0.5000  0.2378 [4 per cell]

=====

Entry from the Alexandria database: a crystal of ZrCdPt2 relaxed with PBEsol (meta-GGA SCAN).

Computed properties:
theoretical density	13.99	g/cm³
formation energy from the elements	-0.8896	eV per atom
D(E_F)	0.450	states/eV/atom
raw total energy	-205.06	eV per cell
total magnetic moment	0.0	Bohr magnetons per cell

a b c (Å): 3.3549 3.3549 6.2606
angles (deg): 90.00 90.00 90.00
Space group P4/mmm (No. 123)
Inequivalent atoms, fractional coordinates:
Zr  0.0000  0.0000  0.0000 [1 per cell]
Cd  0.0000  0.0000  0.5000 [1 per cell]
Pt  0.5000  0.5000  0.2406 [2 per cell]

=====

Entry from the Alexandria database: a crystal of Zr2CdPt relaxed with PBEsol (meta-GGA SCAN).

Computed properties:
theoretical density	10.53	g/cm³
formation energy from the elements	-0.3234	eV per atom
D(E_F)	0.832	states/eV/atom
raw total energy	-489.90	eV per cell
total magnetic moment	0.0	Bohr magnetons per cell

a b c (Å): 3.0145 3.0145 29.4409
angles (deg): 90.00 90.00 120.00
Space group R-3m (No. 166, hexagonal axes)
Inequivalent atoms, fractional coordinates:
Zr  0.0000  0.0000  0.2441 [6 per cell]
Cd  0.0000  0.0000  0.0000 [3 per cell]
Pt  0.0000  0.0000  0.5000 [3 per cell]

=====

Entry from the Alexandria database: a crystal of ZrCdPt3 relaxed with PBEsol (meta-GGA SCAN).

Computed properties:
theoretical density	11.32	g/cm³
formation energy from the elements	0.5800	eV per atom
D(E_F)	0.395	states/eV/atom
raw total energy	-268.79	eV per cell
total magnetic moment	0.0	Bohr magnetons per cell

a b c (Å): 4.8735 4.8735 4.8735
angles (deg): 90.00 90.00 90.00
Space group Pm-3m (No. 221)
Inequivalent atoms, fractional coordinates:
Zr  0.0000  0.0000  0.0000 [1 per cell]
Cd  0.5000  0.5000  0.5000 [1 per cell]
Pt  0.0000  0.0000  0.5000 [3 per cell]

=====

> Which of these has the highest D(E_F)?

Zr2CdPt